[1]
# Mg3Ga PBE optimized geometry
data_Mg3Ga
_chemical_formula_sum 'Mg6 Ga2'
_space_group_name_H-M_alt 'P 1'
_space_group_IT_number 1
_cell_length_a 4.280
_cell_length_b 5.426
_cell_length_c 8.154
_cell_angle_alpha 90.00
_cell_angle_beta 90.00
_cell_angle_gamma 113.23
loop_
_space_group_symop_operation_xyz
'x,y,z'
loop_
_atom_site_label
_atom_site_type_symbol
_atom_site_fract_x
_atom_site_fract_y
_atom_site_fract_z
Mg1 Mg 0.142 0.285 0.561
Mg2 Mg 0.557 0.115 0.250
Mg3 Mg 0.858 0.715 0.439
Mg4 Mg 0.858 0.715 0.061
Mg5 Mg 0.443 0.885 0.750
Mg6 Mg 0.142 0.285 0.939
Ga1 Ga 0.741 0.482 0.750
Ga2 Ga 0.259 0.518 0.250
# space-group type: No. 63
# raw total energy: -16.26 eV per cell
# energy of formation: -0.08 eV/atom
# M_tot: 0.00 μB/f.u.
# DOS(E_F): 0.44 states/eV/atom


[2]
# Mg2Ga3 PBE optimized geometry
data_Mg2Ga3
_chemical_formula_sum 'Mg4 Ga6'
_space_group_name_H-M_alt 'P 1'
_space_group_IT_number 1
_cell_length_a 4.413
_cell_length_b 6.692
_cell_length_c 6.692
_cell_angle_alpha 90.00
_cell_angle_beta 90.00
_cell_angle_gamma 90.00
loop_
_space_group_symop_operation_xyz
'x,y,z'
loop_
_atom_site_label
_atom_site_type_symbol
_atom_site_fract_x
_atom_site_fract_y
_atom_site_fract_z
Mg1 Mg 0.500 0.829 0.329
Mg2 Mg 0.500 0.671 0.829
Mg3 Mg 0.500 0.329 0.171
Mg4 Mg 0.500 0.171 0.671
Ga1 Ga 0.000 0.136 0.364
Ga2 Ga 0.000 0.500 0.500
Ga3 Ga 0.000 0.364 0.864
Ga4 Ga 0.000 0.864 0.636
Ga5 Ga 0.000 0.000 0.000
Ga6 Ga 0.000 0.636 0.136
# space-group type: No. 127
# raw total energy: -25.45 eV per cell
# energy of formation: -0.09 eV/atom
# energy above the most stable polymorph in this dataset: 0.0000 eV/atom
# M_tot: 0.00 μB/f.u.
# DOS(E_F): 0.41 states/eV/atom